--- A ---
A relaxed structure of Pt3RhSe, computed with PBE-GGA.

Values from the calculation:
magnetization: 1.64 μB/cell

Lattice parameters (Å, degrees): 4.6372 4.6372 4.6372 90.00 90.00 90.00
Last column: nearest neighbours and their distance in Å.
Space group Pm-3m (No. 221)
Inequivalent atoms, fractional coordinates:
Pt  0.0000  0.0000  0.5000 x3  2 Se 2.32
Rh  0.5000  0.5000  0.5000 x1  12 Pt 3.28
Se  0.0000  0.0000  0.0000 x1  6 Pt 2.32

--- B ---
A relaxed structure of Pt3RhSe, computed with PBE-GGA.

Values from the calculation:
magnetization: 1.87 μB/cell

Lattice parameters (Å, degrees): 4.8126 4.8126 4.8126 90.00 90.00 90.00
Last column: nearest neighbours and their distance in Å.
Space group Pm-3m (No. 221)
Inequivalent atoms, fractional coordinates:
Pt  0.0000  0.0000  0.5000 x3  2 Rh 2.41
Rh  0.0000  0.0000  0.0000 x1  6 Pt 2.41
Se  0.5000  0.5000  0.5000 x1  12 Pt 3.40

Quick one: most stable of them? A

--- A ---
A relaxed structure of Si3PtRh, computed with PBE-GGA.

Values from the calculation:
magnetization: 0.00 μB/cell

Lattice parameters (Å, degrees): 5.3966 3.7050 7.8726 90.00 91.92 90.00
Last column: nearest neighbours and their distance in Å.
Space group P2_1/m (No. 11)
Inequivalent atoms, fractional coordinates:
Si  0.0345  0.2500  0.3675 x2  1 Si 2.29, 2 Pt 2.45
Si  0.1885  0.2500  0.9728 x2  3 Rh 2.43-2.46, 1 Pt 2.50
Si  0.4561  0.2500  0.3421 x2  1 Si 2.29, 2 Pt 2.41
Pt  0.2598  0.2500  0.6606 x2  6 Si 2.41-2.57
Rh  0.2228  0.7500  0.1715 x2  7 Si 2.43-2.64

--- B ---
A relaxed structure of Si3PtRh, computed with PBE-GGA.

Values from the calculation:
magnetization: 0.00 μB/cell

Lattice parameters (Å, degrees): 4.5397 4.5397 4.5397 90.00 90.00 90.00
Last column: nearest neighbours and their distance in Å.
Space group Pm-3m (No. 221)
Inequivalent atoms, fractional coordinates:
Si  0.0000  0.0000  0.5000 x3  2 Rh 2.27
Pt  0.5000  0.5000  0.5000 x1  12 Si 3.21
Rh  0.0000  0.0000  0.0000 x1  6 Si 2.27

Quick one: most stable of them? A

--- A ---
A relaxed structure of SiPtRh3, computed with PBE-GGA.

Values from the calculation:
magnetization: 1.89 μB/cell

Lattice parameters (Å, degrees): 4.7656 4.7656 4.7656 90.00 90.00 90.00
Last column: nearest neighbours and their distance in Å.
Space group Pm-3m (No. 221)
Inequivalent atoms, fractional coordinates:
Si  0.0000  0.0000  0.0000 x1  12 Rh 3.37
Pt  0.5000  0.5000  0.5000 x1  6 Rh 2.38
Rh  0.0000  0.5000  0.5000 x3  2 Pt 2.38

--- B ---
A relaxed structure of SiPtRh3, computed with PBE-GGA.

Values from the calculation:
magnetization: 0.63 μB/cell

Lattice parameters (Å, degrees): 4.3614 4.3614 4.3614 90.00 90.00 90.00
Last column: nearest neighbours and their distance in Å.
Space group Pm-3m (No. 221)
Inequivalent atoms, fractional coordinates:
Si  0.0000  0.0000  0.0000 x1  6 Rh 2.18
Pt  0.5000  0.5000  0.5000 x1  12 Rh 3.08
Rh  0.0000  0.0000  0.5000 x3  2 Si 2.18

Quick one: most stable of them? B

--- A ---
A relaxed structure of Sm4PtRh, computed with PBE-GGA.

Values from the calculation:
magnetization: 0.00 μB/cell

Lattice parameters (Å, degrees): 7.0378 7.0313 7.0225 90.00 91.54 90.00
Last column: nearest neighbours and their distance in Å.
Space group P2_1/c (No. 14)
Inequivalent atoms, fractional coordinates:
Sm  0.1699  0.1723  0.1797 x4  2 Rh 2.85-2.87, 1 Pt 2.93
Sm  0.3253  0.6702  0.1638 x4  1 Rh 2.80, 2 Pt 2.88-2.89
Pt  0.5000  0.0000  0.0000 x2  6 Sm 2.88-2.93
Rh  0.0000  0.0000  0.5000 x2  6 Sm 2.80-2.87

--- B ---
A relaxed structure of Sm4PtRh, computed with PBE-GGA.

Values from the calculation:
magnetization: 0.00 μB/cell

Lattice parameters (Å, degrees): 6.9864 6.9864 6.5337 90.00 90.00 90.00
Last column: nearest neighbours and their distance in Å.
Space group P4/mcc (No. 124)
Inequivalent atoms, fractional coordinates:
Sm  0.1811  0.3150  0.0000 x8  2 Rh 3.02, 2 Pt 3.05
Pt  0.5000  0.5000  0.2500 x2  8 Sm 3.05, 2 Pt 3.27
Rh  0.0000  0.0000  0.2500 x2  8 Sm 3.02, 2 Rh 3.27

Quick one: most stable of them? B

--- A ---
A relaxed structure of Sm3PtRh, computed with PBE-GGA.

Values from the calculation:
magnetization: 0.00 μB/cell

Lattice parameters (Å, degrees): 8.5377 3.9416 8.5507 90.00 110.28 90.00
Last column: nearest neighbours and their distance in Å.
Space group Pm (No. 6)
Inequivalent atoms, fractional coordinates:
Sm  0.0000  0.0000  0.0000 x1  2 Rh 2.83, 2 Pt 2.86
Sm  0.0536  0.5000  0.5873 x1  2 Rh 2.78
Sm  0.2910  0.5000  0.3481 x1  2 Rh 2.78
Sm  0.4143  0.5000  0.9475 x1  2 Rh 2.78
Sm  0.6517  0.5000  0.7087 x1  2 Rh 2.78
Sm  0.7055  0.0000  0.2954 x1  2 Rh 2.83, 2 Pt 2.86
Pt  0.3525  0.0000  0.6477 x1  8 Sm 3.12-3.13
Pt  0.8513  0.5000  0.1463 x1  4 Sm 2.86
Rh  0.3528  0.0000  0.1480 x1  6 Sm 2.78-2.83
Rh  0.8527  0.0000  0.6478 x1  6 Sm 2.78-2.83

--- B ---
A relaxed structure of Sm3PtRh, computed with PBE-GGA.

Values from the calculation:
magnetization: 0.00 μB/cell

Lattice parameters (Å, degrees): 8.8058 7.3796 8.3631 90.00 105.96 90.00
Last column: nearest neighbours and their distance in Å.
Space group P2_1/c (No. 14)
Inequivalent atoms, fractional coordinates:
Sm  0.0504  0.0031  0.2185 x4  4 Rh 2.83-3.03, 1 Pt 3.03
Sm  0.2880  0.6515  0.1097 x4  3 Pt 2.89-3.04, 2 Rh 2.94-3.19
Sm  0.3540  0.1857  0.0046 x4  1 Rh 2.81, 3 Pt 3.00-3.13
Pt  0.4063  0.5369  0.8157 x4  7 Sm 2.89-3.13, 1 Pt 3.12
Rh  0.0567  0.1885  0.5194 x4  6 Sm 2.81-3.03, 1 Rh 2.94

Quick one: most stable of them? B

--- A ---
A relaxed structure of Sn6PtRh2, computed with PBE-GGA.

Values from the calculation:
magnetization: 0.00 μB/cell

Lattice parameters (Å, degrees): 10.6784 10.6784 6.3190 90.00 90.00 120.00
Last column: nearest neighbours and their distance in Å.
Space group P-3m1 (No. 164)
Inequivalent atoms, fractional coordinates:
Sn  0.1082  0.5541  0.2004 x6  2 Rh 2.67, 1 Pt 2.72
Sn  0.1107  0.2214  0.3133 x6  2 Rh 2.65, 1 Pt 2.85
Sn  0.2157  0.4314  0.7204 x6  1 Pt 2.66, 2 Rh 2.68
Pt  0.0000  0.0000  0.0000 x1  6 Sn 2.85
Pt  0.3333  0.6667  0.4772 x2  6 Sn 2.66-2.72
Rh  0.0000  0.3003  0.0000 x6  6 Sn 2.65-2.68

--- B ---
A relaxed structure of Sn6PtRh2, computed with PBE-GGA.

Values from the calculation:
magnetization: 0.00 μB/cell

Lattice parameters (Å, degrees): 6.7835 6.6817 9.8963 90.00 115.41 90.00
Last column: nearest neighbours and their distance in Å.
Space group P2_1/c (No. 14)
Inequivalent atoms, fractional coordinates:
Sn  0.0873  0.0346  0.2901 x4  1 Pt 2.68, 2 Rh 2.69-2.71
Sn  0.2829  0.6794  0.0886 x4  2 Rh 2.75-2.83, 1 Pt 2.76, 1 Sn 3.03
Sn  0.4013  0.1700  0.0725 x4  3 Rh 2.72-2.78, 1 Pt 2.75
Pt  0.0000  0.0000  0.0000 x2  6 Sn 2.68-2.76
Rh  0.3042  0.1313  0.7761 x4  7 Sn 2.69-2.83

Quick one: most stable of them? A

--- A ---
A relaxed structure of Sn3PtRh, computed with PBE-GGA.

Values from the calculation:
magnetization: 0.00 μB/cell

Lattice parameters (Å, degrees): 5.0239 5.0239 5.0239 90.00 90.00 90.00
Last column: nearest neighbours and their distance in Å.
Space group Pm-3m (No. 221)
Inequivalent atoms, fractional coordinates:
Sn  0.0000  0.0000  0.5000 x3  2 Rh 2.51
Pt  0.5000  0.5000  0.5000 x1  12 Sn 3.55
Rh  0.0000  0.0000  0.0000 x1  6 Sn 2.51

--- B ---
A relaxed structure of Sn3PtRh, computed with PBE-GGA.

Values from the calculation:
magnetization: 0.00 μB/cell

Lattice parameters (Å, degrees): 12.5635 6.4531 10.8773 90.00 103.25 90.00
Last column: nearest neighbours and their distance in Å.
Space group C2/c (No. 15)
Inequivalent atoms, fractional coordinates:
Sn  0.0361  0.2372  0.0172 x8  2 Rh 2.67-2.74, 2 Pt 2.77-2.79
Sn  0.1363  0.0896  0.7829 x8  2 Rh 2.67, 2 Pt 2.73-2.85
Sn  0.1886  0.3969  0.3761 x8  2 Rh 2.67, 3 Pt 2.86-2.90
Pt  0.1513  0.4158  0.6279 x8  7 Sn 2.73-2.90, 1 Rh 2.99
Rh  0.0000  0.2333  0.2500 x4  6 Sn 2.67
Rh  0.2500  0.2500  0.0000 x4  6 Sn 2.67-2.74, 2 Pt 2.99

Quick one: most stable of them? B

--- A ---
A relaxed structure of SnPtRh3, computed with PBE-GGA.

Values from the calculation:
magnetization: 0.00 μB/cell

Lattice parameters (Å, degrees): 9.6501 9.4732 7.8646 90.00 112.99 90.00
Last column: nearest neighbours and their distance in Å.
Space group C2/c (No. 15)
Inequivalent atoms, fractional coordinates:
Sn  0.0000  0.0757  0.2500 x4  6 Rh 2.60-2.89, 2 Pt 2.73
Sn  0.0000  0.3841  0.7500 x4  8 Rh 2.68-2.74
Pt  0.1382  0.3259  0.3862 x8  5 Rh 2.62-2.84, 2 Pt 2.63-2.69, 1 Sn 2.73
Rh  0.0926  0.1488  0.6355 x8  3 Sn 2.60-2.89, 3 Rh 2.64-2.77, 2 Pt 2.68-2.74
Rh  0.1640  0.4570  0.1039 x8  2 Pt 2.62-2.64, 4 Rh 2.64-2.91, 2 Sn 2.70-2.74
Rh  0.2012  0.1720  0.1144 x8  2 Sn 2.71, 6 Rh 2.72-2.91, 1 Pt 2.84

--- B ---
A relaxed structure of SnPtRh3, computed with PBE-GGA.

Values from the calculation:
magnetization: 1.85 μB/cell

Lattice parameters (Å, degrees): 4.8002 4.8002 4.8002 90.00 90.00 90.00
Last column: nearest neighbours and their distance in Å.
Space group Pm-3m (No. 221)
Inequivalent atoms, fractional coordinates:
Sn  0.0000  0.0000  0.0000 x1  12 Rh 3.39
Pt  0.5000  0.5000  0.5000 x1  6 Rh 2.40
Rh  0.0000  0.5000  0.5000 x3  2 Pt 2.40

--- C ---
A relaxed structure of SnPtRh3, computed with PBE-GGA.

Values from the calculation:
magnetization: 0.00 μB/cell

Lattice parameters (Å, degrees): 4.7873 5.5494 6.4076 76.38 74.40 75.65
Last column: nearest neighbours and their distance in Å.
Space group P-1 (No. 2)
Inequivalent atoms, fractional coordinates:
Sn  0.1101  0.3843  0.2842 x2  9 Rh 2.72-2.87, 2 Pt 2.84-2.89
Pt  0.3119  0.1938  0.8847 x2  9 Rh 2.70-2.90, 2 Sn 2.84-2.89, 1 Pt 2.84
Rh  0.0951  0.8859  0.3040 x2  3 Pt 2.72-2.90, 3 Sn 2.76-2.80, 6 Rh 2.77-2.90
Rh  0.2993  0.7060  0.8978 x2  4 Pt 2.70-2.86, 3 Sn 2.72-2.77, 5 Rh 2.75-2.90
Rh  0.5000  0.0000  0.5000 x1  8 Rh 2.75-2.83, 2 Pt 2.76, 2 Sn 2.82
Rh  0.5000  0.5000  0.5000 x1  2 Pt 2.71, 6 Rh 2.77-2.87, 4 Sn 2.86-2.87

Quick one: most stable of them? C

--- A ---
A relaxed structure of Sn2PtRh3, computed with PBE-GGA.

Values from the calculation:
magnetization: 0.00 μB/cell

Lattice parameters (Å, degrees): 4.3381 8.1120 5.6176 90.00 90.00 90.00
Last column: nearest neighbours and their distance in Å.
Space group Pmc2_1 (No. 26)
Inequivalent atoms, fractional coordinates:
Sn  0.0000  0.1443  0.0000 x2  6 Rh 2.65-2.71, 1 Pt 2.82
Sn  0.5000  0.3437  0.6031 x2  6 Rh 2.64-2.93, 2 Pt 2.74
Pt  0.0000  0.4726  0.8364 x2  5 Sn 2.74-3.03, 2 Pt 2.84, 5 Rh 2.90-2.99
Rh  0.0000  0.1821  0.4718 x2  4 Sn 2.64-2.67, 1 Pt 2.90
Rh  0.5000  0.0274  0.7646 x2  5 Sn 2.71-2.98, 7 Rh 2.84-3.00
Rh  0.5000  0.3219  0.1236 x2  5 Sn 2.69-2.93, 1 Rh 2.94, 4 Pt 2.97-2.99

--- B ---
A relaxed structure of Sn2PtRh3, computed with PBE-GGA.

Values from the calculation:
magnetization: 0.00 μB/cell

Lattice parameters (Å, degrees): 7.9772 10.4386 5.5479 90.00 90.00 90.00
Last column: nearest neighbours and their distance in Å.
Space group Ibam (No. 72)
Inequivalent atoms, fractional coordinates:
Sn  0.2203  0.1417  0.0000 x8  6 Rh 2.65-2.76, 1 Pt 2.68
Pt  0.0000  0.5000  0.0000 x4  2 Sn 2.68, 4 Rh 2.71, 2 Pt 2.77
Rh  0.0000  0.0000  0.2500 x4  4 Sn 2.68, 4 Rh 2.77-2.89
Rh  0.0000  0.2773  0.2500 x8  4 Sn 2.65-2.76, 2 Pt 2.71, 3 Rh 2.77-2.89

Quick one: most stable of them? A

--- A ---
A relaxed structure of SnPtRh4, computed with PBE-GGA.

Values from the calculation:
magnetization: 0.00 μB/cell

Lattice parameters (Å, degrees): 3.9581 3.9581 6.9128 90.00 90.00 90.00
Last column: nearest neighbours and their distance in Å.
Space group P4/mmm (No. 123)
Inequivalent atoms, fractional coordinates:
Sn  0.0000  0.0000  0.0000 x1  8 Rh 2.66
Pt  0.5000  0.5000  0.5000 x1  8 Rh 2.60
Rh  0.0000  0.5000  0.2567 x4  2 Pt 2.60, 2 Sn 2.66, 4 Rh 2.80

--- B ---
A relaxed structure of SnPtRh4, computed with PBE-GGA.

Values from the calculation:
magnetization: 0.00 μB/cell

Lattice parameters (Å, degrees): 2.8623 3.8409 8.3911 90.00 90.00 90.00
Last column: nearest neighbours and their distance in Å.
Space group Pmmm (No. 47)
Inequivalent atoms, fractional coordinates:
Sn  0.0000  0.0000  0.0000 x1  10 Rh 2.80-2.84, 2 Sn 2.86
Pt  0.5000  0.5000  0.5000 x1  10 Rh 2.75, 2 Pt 2.86
Rh  0.0000  0.0000  0.3381 x2  7 Rh 2.72-2.86, 4 Pt 2.75, 1 Sn 2.84
Rh  0.5000  0.5000  0.1718 x2  1 Pt 2.75, 7 Rh 2.77-2.88, 4 Sn 2.80

Quick one: most stable of them? B